Record 1
The following is a PBE-GGA calculation of an optimized crystal structure of HoTcGe3, from Alexandria.

Results
Symmetry: Cmcm, No. 63
DFT formation energy in eV/atom: -0.381

Unit cell a=6.316 b=6.316 c=5.930 alpha=90.00 beta=90.00 gamma=127.11
Fractional coordinates of all 10 atoms:
Ho 0.102 0.898 0.750
Ho 0.898 0.102 0.250
Tc 0.500 0.500 0.000
Tc 0.500 0.500 0.500
Ge 0.107 0.365 0.750
Ge 0.319 0.681 0.250
Ge 0.365 0.107 0.250
Ge 0.635 0.893 0.750
Ge 0.681 0.319 0.750
Ge 0.893 0.635 0.250

Record 2
The following is a PBE-GGA calculation of an optimized crystal structure of Nd5OsN8, from Alexandria.

Results
Symmetry: I-4, No. 82
Uncorrected energy in eV/atom: -7.85

Unit cell a=7.145 b=7.145 c=7.145 alpha=107.79 beta=107.79 gamma=112.89
Fractional coordinates of all 14 atoms:
Nd 0.000 0.000 0.000
Nd 0.115 0.556 0.929
Nd 0.444 0.374 0.559
Nd 0.626 0.186 0.071
Nd 0.814 0.885 0.441
Os 0.250 0.750 0.500
N 0.307 0.652 0.704
N 0.348 0.052 0.655
N 0.387 0.148 0.214
N 0.397 0.693 0.345
N 0.827 0.613 0.761
N 0.852 0.066 0.239
N 0.934 0.173 0.786
N 0.948 0.603 0.296

Record 3
The following is a PBE-GGA calculation of an optimized crystal structure of K2Bi3Au2, from Alexandria.

Results
Symmetry: C2/m, No. 12
DFT formation energy in eV/atom: -0.249

Unit cell a=6.624 b=6.624 c=8.254 alpha=112.76 beta=112.76 gamma=42.04
Fractional coordinates of all 7 atoms:
K 0.162 0.162 0.307
K 0.838 0.838 0.693
Bi 0.383 0.383 0.045
Bi 0.500 0.500 0.500
Bi 0.617 0.617 0.955
Au 0.127 0.127 0.759
Au 0.873 0.873 0.241

Record 4
The following is a PBE-GGA calculation of an optimized crystal structure of Sr2BeCd, from Alexandria.

Results
Relative energy among the computed polymorphs in meV/atom: 62
Symmetry: Fm-3m, No. 225
DFT formation energy in eV/atom: 0.134

Unit cell a=5.543 b=5.543 c=5.543 alpha=60.00 beta=60.00 gamma=60.00
Fractional coordinates of all 4 atoms:
Sr 0.250 0.250 0.250
Sr 0.750 0.750 0.750
Be 0.000 0.000 0.000
Cd 0.500 0.500 0.500